(1)
InAu2Cl | GGA-PBE | relaxed

The structure belongs to space group I-42d (No. 122); the cell edges are 8.024, 8.024 and 5.582 Å and the angles 90.00°, 90.00° and 90.00°. The asymmetric unit holds In at (0.000, 0.000, 0.000), Au at (0.233, 0.250, 0.125) and Cl at (0.000, 0.000, 0.500).

As for the polymorph energy (0 for the lowest one): 0.42 eV/f.u.

(2)
InAuCl2 | GGA-PBE | relaxed

The structure belongs to space group P2/m (No. 10); the cell edges are 3.885, 3.922 and 7.116 Å and the angles 90.00°, 96.93° and 90.00°. The asymmetric unit holds In at (0.000, 0.000, 0.000), Au at (0.500, 0.000, 0.500) and Cl at (0.428, 0.500, 0.738).

As for the polymorph energy (0 for the lowest one): 0.96 eV/f.u.

(3)
InAu2Cl6 | GGA-PBE | relaxed

The structure belongs to space group C2/c (No. 15); the cell edges are 13.747, 10.513 and 7.232 Å and the angles 90.00°, 93.81° and 90.00°. The asymmetric unit holds In at (0.000, 0.096, 0.250), Au at (0.110, 0.497, 0.039), Cl at (0.106, 0.055, 0.944), Cl at (0.124, 0.271, 0.305) and Cl at (0.124, 0.362, 0.788).

(4)
InAu2Cl | GGA-PBE | relaxed

The structure belongs to space group Pmm2 (No. 25); the cell edges are 3.839, 3.887 and 7.567 Å and the angles 90.00°, 90.00° and 90.00°. The asymmetric unit holds In at (0.000, 0.000, 0.000), Au at (0.000, 0.000, 0.369), Au at (0.500, 0.500, 0.376) and Cl at (0.500, 0.500, 0.861).

As for the polymorph energy (0 for the lowest one): 0.23 eV/f.u.

(5)
InAu2Cl | GGA-PBE | relaxed

The structure belongs to space group Cmmm (No. 65); the cell edges are 3.717, 5.861 and 8.104 Å and the angles 90.00°, 90.00° and 90.00°. The asymmetric unit holds In at (0.000, 0.000, 0.000), Au at (0.000, 0.500, 0.246) and Cl at (0.000, 0.000, 0.500).

As for the polymorph energy (0 for the lowest one): 0.77 eV/f.u.

(6)
InAuCl2 | GGA-PBE | relaxed

The structure belongs to space group F-43m (No. 216); the cell edges are 7.079, 7.079 and 7.079 Å and the angles 90.00°, 90.00° and 90.00°. The asymmetric unit holds In at (0.000, 0.000, 0.000), Au at (0.250, 0.250, 0.750), Cl at (0.000, 0.000, 0.500) and Cl at (0.250, 0.250, 0.250).

As for the polymorph energy (0 for the lowest one): 1.98 eV/f.u.

Respective uncorrected formation energy values: -0.40, -1.30, -4.48, -0.59, -0.05, -0.28 eV per formula unit.